{"formula": "AcSmAgPb", "functional": "GGA-PBE", "state": "optimized geometry", "rho_kg_m3": 9354, "formation_enthalpy_0k_ev_per_atom": -0.3710, "dft_energy_ev_per_atom": -4.218, "lattice": [[-4.841, 2.598, -0.981], [-4.148, -2.706, -2.573], [-4.574, -1.452, 2.849]], "species": ["Ac", "Sm", "Pb", "Ag"], "fractional_positions": [[0.000, 0.000, 0.000], [0.500, 0.500, 0.500], [0.750, 0.750, 0.750], [0.250, 0.250, 0.250]]}